Entry 1:
Below is a relaxed Na3Hg5Cl12 crystal, with properties calculated at the PBE-GGA level.

Values from the calculation:
**M_tot**: 0.00 μB per formula unit
**N(E_F)**: 15.079 states/eV per cell
**Uncorrected formation energy**: -872 meV/atom

abc: 16.702 16.702 16.702
angles: 90.00 90.00 90.00
Space group Ia-3d (No. 230)
Symmetry-distinct sites (fractional):
Na1 0.000 0.250 0.125 x24
Hg1 0.000 0.000 0.000 x16
Hg2 0.000 0.250 0.375 x24
Cl1 0.023 0.061 0.653 x96

***

Entry 2:
Below is a relaxed Cr3AsIr crystal, with properties calculated at the PBE-GGA level.

Values from the calculation:
**Energy of formation**: 1112.8 meV/atom
**M_tot**: 10.12 μB per formula unit
**N(E_F)**: 6.583 states/eV per cell

abc: 4.728 4.728 4.728
angles: 90.00 90.00 90.00
Space group Pm-3m (No. 221)
Symmetry-distinct sites (fractional):
Cr1 0.000 0.000 0.500 x3
As1 0.500 0.500 0.500 x1
Ir1 0.000 0.000 0.000 x1

***

Entry 3:
Below is a relaxed Tm2Si3Ni4Rh crystal, with properties calculated at the PBE-GGA level.

Values from the calculation:
**M_tot**: 0.00 μB per formula unit
**N(E_F)**: 9.380 states/eV per cell
**Uncorrected formation energy**: -732 meV/atom

abc: 3.865 3.865 10.004
angles: 90.00 90.00 90.00
Space group P-4m2 (No. 115)
Symmetry-distinct sites (fractional):
Tm1 0.000 0.500 0.247 x2
Si1 0.000 0.500 0.874 x2
Si2 0.500 0.500 0.500 x1
Ni1 0.000 0.000 0.000 x1
Ni2 0.000 0.500 0.649 x2
Ni3 0.500 0.500 0.000 x1
Rh1 0.000 0.000 0.500 x1